A plane-wave DFT calculation with PBE+U was carried out for crystalline AlCr2O4 at its relaxed geometry.

Cell lengths 8.406, 8.406, 8.406 Å; angles 90.00, 90.00, 90.00 degrees
Space group Fd-3m (No. 227, origin choice 2)
Asymmetric unit:
1 Al 0.125 0.125 0.125
2 Cr 0.000 0.000 0.500
3 O 0.001 0.001 0.749

For the excess energy over the best structure of this formula in the dataset, the calculation gives 0.000 eV per atom. The value obtained for the density of states at the Fermi level is 23.0 states/eV/cell. The raw total energy comes out at -7.63 eV per atom.